A plane-wave DFT calculation with PBE-GGA was carried out for a geometry-optimized LiNd6Mg structure.

Lattice parameters (Å, degrees): 6.3874 6.3921 6.4025 90.70 90.82 91.76
Space group P-1 (No. 2)
Symmetry-distinct sites (fractional):
Li1 0.0000 0.0000 0.0000 (multiplicity 1)
Nd1 0.0339 0.5272 0.2524 (multiplicity 2)
Nd2 0.2519 0.0317 0.5316 (multiplicity 2)
Nd3 0.4775 0.7477 0.9638 (multiplicity 2)
Mg1 0.5000 0.5000 0.5000 (multiplicity 1)

**Crystal system**: triclinic
**Distance to the lowest polymorph of the same formula**: 0.926 eV/f.u.
**Energy of formation from the pure elements**: 0.1268 eV per atom
**D(E_F)**: 9.945 states/eV/f.u.
**Size of the total moment**: 0.0 Bohr magnetons per cell


A plane-wave DFT calculation with PBE-GGA was carried out for a geometry-optimized Li5NdMg7 structure.

Lattice parameters (Å, degrees): 5.4359 10.2720 10.3445 90.00 90.00 90.00
Space group Imm2 (No. 44)
Symmetry-distinct sites (fractional):
Li1 0.0000 0.0000 0.0000 (multiplicity 2)
Li2 0.2489 0.2481 0.0326 (multiplicity 8)
Nd1 0.0000 0.5000 0.2803 (multiplicity 2)
Mg1 0.0000 0.0000 0.5676 (multiplicity 2)
Mg2 0.0000 0.1485 0.2837 (multiplicity 4)
Mg3 0.0000 0.2087 0.7837 (multiplicity 4)
Mg4 0.0000 0.5000 0.6318 (multiplicity 2)
Mg5 0.0000 0.5000 0.9287 (multiplicity 2)

**Crystal system**: orthorhombic
**Energy of formation from the pure elements**: -0.0469 eV per atom
**D(E_F)**: 9.745 states/eV/f.u.
**Size of the total moment**: 0.0 Bohr magnetons per cell


A plane-wave DFT calculation with PBE-GGA was carried out for a geometry-optimized LiNd2Mg8 structure.

Lattice parameters (Å, degrees): 16.4355 5.0265 6.8468 90.00 102.46 90.00
Space group C2/m (No. 12)
Symmetry-distinct sites (fractional):
Li1 0.0000 0.0000 0.0000 (multiplicity 2)
Nd1 0.2196 0.5000 0.6586 (multiplicity 4)
Mg1 0.0238 0.5000 0.7317 (multiplicity 4)
Mg2 0.0876 0.0000 0.4281 (multiplicity 4)
Mg3 0.1467 0.5000 0.1431 (multiplicity 4)
Mg4 0.1564 0.0000 0.8812 (multiplicity 4)

**Crystal system**: monoclinic
**Energy of formation from the pure elements**: -0.0468 eV per atom
**D(E_F)**: 6.931 states/eV/f.u.
**Size of the total moment**: 0.0 Bohr magnetons per cell


A plane-wave DFT calculation with PBE-GGA was carried out for a geometry-optimized LiNdMg structure.

Lattice parameters (Å, degrees): 3.4392 3.4392 13.2119 90.00 90.00 90.00
Space group I4mm (No. 107)
Symmetry-distinct sites (fractional):
Li1 0.0000 0.0000 0.0000 (multiplicity 2)
Nd1 0.0000 0.0000 0.6849 (multiplicity 2)
Mg1 0.0000 0.0000 0.3697 (multiplicity 2)

**Crystal system**: tetragonal
**Distance to the lowest polymorph of the same formula**: 0.193 eV/f.u.
**Energy of formation from the pure elements**: 0.0358 eV per atom
**D(E_F)**: 3.894 states/eV/f.u.
**Size of the total moment**: 0.0 Bohr magnetons per cell


A plane-wave DFT calculation with PBE-GGA was carried out for a geometry-optimized Li4NdMg structure.

Lattice parameters (Å, degrees): 8.0958 8.0958 8.0958 90.00 90.00 90.00
Space group F-43m (No. 216)
Symmetry-distinct sites (fractional):
Li1 0.1234 0.1234 0.3766 (multiplicity 16)
Nd1 0.0000 0.0000 0.0000 (multiplicity 4)
Mg1 0.2500 0.2500 0.7500 (multiplicity 4)

**Crystal system**: cubic
**Energy of formation from the pure elements**: 0.0045 eV per atom
**D(E_F)**: 4.282 states/eV/f.u.
**Size of the total moment**: 0.0 Bohr magnetons per cell


A plane-wave DFT calculation with PBE-GGA was carried out for a geometry-optimized LiNdMg4 structure.

Lattice parameters (Å, degrees): 4.4772 17.7727 7.4539 90.00 90.00 90.00
Space group Cmcm (No. 63)
Symmetry-distinct sites (fractional):
Li1 0.0000 0.2313 0.2500 (multiplicity 4)
Nd1 0.0000 0.1157 0.7500 (multiplicity 4)
Mg1 0.0000 0.0753 0.2500 (multiplicity 4)
Mg2 0.0000 0.3185 0.5483 (multiplicity 8)
Mg3 0.0000 0.5000 0.0000 (multiplicity 4)

**Crystal system**: orthorhombic
**Distance to the lowest polymorph of the same formula**: 0.294 eV/f.u.
**Energy of formation from the pure elements**: -0.0151 eV per atom
**D(E_F)**: 6.072 states/eV/f.u.
**Size of the total moment**: 0.0 Bohr magnetons per cell